## PmYPu (GGA-PBE)

Data for a relaxed PmYPu crystal.

Results
Its total energy is -8.241 eV per atom. The formation enthalpy at 0 K comes out at 274 meV/atom. As for the energy above the most stable polymorph in this dataset: 149 meV per atom.

a = 13.0448 Å, b = 3.4002 Å, c = 9.7396 Å
α = 90.00°, β = 117.12°, γ = 90.00°
Space group C2/m (No. 12)
Symmetry-distinct sites (fractional):
Pm1 0.1211 0.0000 0.3395 x4
Y1 0.1218 0.5000 0.6722 x4
Pu1 0.1295 0.0000 0.9933 x4

=====

## Pm9Y4Pu (GGA-PBE)

Data for a relaxed Pm9Y4Pu crystal.

Results
Its total energy is -5.756 eV per atom. The formation enthalpy at 0 K comes out at 169 meV/atom.

a = 9.8914 Å, b = 9.8914 Å, c = 11.2631 Å
α = 90.00°, β = 90.00°, γ = 120.00°
Space group P6_3/mmc (No. 194)
Symmetry-distinct sites (fractional):
Pm1 0.0715 0.5358 0.2500 x6
Pm2 0.2094 0.4188 0.5353 x12
Y1 0.0000 0.0000 0.0000 x2
Y2 0.1122 0.2245 0.2500 x6
Pu1 0.3333 0.6667 0.7500 x2

=====

## Pm2Y7Pu (GGA-PBE)

Data for a relaxed Pm2Y7Pu crystal.

Results
Its total energy is -6.438 eV per atom. The formation enthalpy at 0 K comes out at 470 meV/atom.

a = 12.0267 Å, b = 16.4815 Å, c = 3.4857 Å
α = 90.00°, β = 90.00°, γ = 90.00°
Space group Cmmm (No. 65)
Symmetry-distinct sites (fractional):
Pm1 0.0000 0.1630 0.0000 x4
Y1 0.0000 0.3242 0.5000 x4
Y2 0.0000 0.5000 0.0000 x2
Y3 0.2407 0.3702 0.0000 x8
Pu1 0.0000 0.0000 0.5000 x2

=====

## Pm6Y2Pu (GGA-PBE)

Data for a relaxed Pm6Y2Pu crystal.

Results
Its total energy is -5.966 eV per atom. The formation enthalpy at 0 K comes out at 230 meV/atom.

a = 6.5253 Å, b = 8.1551 Å, c = 12.9455 Å
α = 90.00°, β = 118.70°, γ = 90.00°
Space group P2_1/c (No. 14)
Symmetry-distinct sites (fractional):
Pm1 0.0089 0.0869 0.2422 x4
Pm2 0.1102 0.6960 0.0121 x4
Pm3 0.3745 0.1478 0.0165 x4
Y1 0.4615 0.1168 0.7489 x4
Pu1 0.5000 0.0000 0.5000 x2

=====

## Pm8Y3Pu (GGA-PBE)

Data for a relaxed Pm8Y3Pu crystal.

Results
Its total energy is -5.437 eV per atom. The formation enthalpy at 0 K comes out at 541 meV/atom.

a = 8.7304 Å, b = 8.7304 Å, c = 11.5428 Å
α = 90.00°, β = 90.00°, γ = 90.00°
Space group I-42m (No. 121)
Symmetry-distinct sites (fractional):
Pm1 0.1245 0.1245 0.2648 x8
Pm2 0.2337 0.2337 0.5256 x8
Y1 0.0000 0.0000 0.0000 x2
Y2 0.0000 0.5000 0.2500 x4
Pu1 0.0000 0.0000 0.5000 x2

=====

## Pm6Y8Pu (GGA-PBE)

Data for a relaxed Pm6Y8Pu crystal.

Results
Its total energy is -6.189 eV per atom. The formation enthalpy at 0 K comes out at 114 meV/atom.

a = 9.1149 Å, b = 9.1149 Å, c = 20.7379 Å
α = 90.00°, β = 90.00°, γ = 120.00°
Space group R-3 (No. 148, hexagonal axes)
Symmetry-distinct sites (fractional):
Pm1 0.0684 0.2536 0.2076 x18
Y1 0.0000 0.0000 0.0767 x6
Y2 0.0825 0.5613 0.3067 x18
Pu1 0.0000 0.0000 0.5000 x3